Record 1
Computed, not measured: a relaxed Cd2InAg9 crystal at the PBE level of DFT.

Geometry as extended XYZ:
```
12
Lattice="4.193 0.000 0.000 0.000 4.193 0.000 0.000 0.000 12.751" Properties=species:S:1:pos:R:3 pbc="T T T"
Cd 0.000 0.000 2.126
Cd 0.000 0.000 10.625
In 0.000 0.000 6.376
Ag 0.000 2.096 0.000
Ag 0.000 2.096 4.238
Ag 0.000 2.096 8.513
Ag 2.096 0.000 0.000
Ag 2.096 0.000 4.238
Ag 2.096 0.000 8.513
Ag 2.096 2.096 2.125
Ag 2.096 2.096 6.376
Ag 2.096 2.096 10.626
```

Calculated values
Theoretical density in Mg/m³: 9.7
Energy in eV/atom: -2.546
Formation energy in eV per atom: -0.0271

=====

Record 2
Computed, not measured: a relaxed Be3OsRh crystal at the PBE level of DFT.

Geometry as extended XYZ:
```
5
Lattice="3.972 0.000 0.000 0.000 3.972 0.000 0.000 0.000 3.972" Properties=species:S:1:pos:R:3 pbc="T T T"
Be 0.000 0.000 1.986
Be 0.000 1.986 0.000
Be 1.986 0.000 0.000
Os 1.986 1.986 1.986
Rh 0.000 0.000 0.000
```

Calculated values
Distance to the lowest polymorph of the same formula in meV per atom: 0
Theoretical density in Mg/m³: 8.5
Energy in eV/atom: -5.161
Formation energy in eV per atom: 0.7912

=====

Record 3
Computed, not measured: a relaxed NdSm2ErS4 crystal at the PBE level of DFT.

Geometry as extended XYZ:
```
8
Lattice="6.907 0.000 0.000 0.000 3.946 0.000 -2.262 0.000 6.593" Properties=species:S:1:pos:R:3 pbc="T T T"
Nd 0.000 0.000 0.000
Sm 2.323 0.000 3.296
Sm 3.454 1.973 0.000
Er -1.131 1.973 3.296
S 0.000 0.000 4.866
S 1.132 1.973 1.707
S 3.514 1.973 4.886
S 4.646 0.000 1.727
```

Calculated values
Theoretical density in Mg/m³: 6.8
Energy in eV/atom: -6.409
Formation energy (no corrections) in eV/atom: -1.999

=====

Record 4
Computed, not measured: a relaxed TiTcI2 crystal at the PBE level of DFT.

Geometry as extended XYZ:
```
8
Lattice="-2.405 2.405 8.312 2.405 -2.405 8.312 2.405 2.405 -8.312" Properties=species:S:1:pos:R:3 pbc="T T T"
Ti 0.000 0.000 0.000
Ti 0.000 2.405 4.156
Tc 2.405 0.000 4.156
Tc 0.000 0.000 8.312
I 1.202 -1.168 6.234
I 1.237 1.202 2.078
I 1.202 3.573 -2.078
I 1.168 1.202 10.391
```

Calculated values
Theoretical density in Mg/m³: 6.9
Energy in eV/atom: -4.712
Formation energy (no corrections) in eV/atom: 0.629

=====

Record 5
Computed, not measured: a relaxed RuPbO4F crystal at the PBE level of DFT.

Geometry as extended XYZ:
```
14
Lattice="5.136 -3.902 0.000 5.136 3.902 0.000 -1.883 0.000 7.083" Properties=species:S:1:pos:R:3 pbc="T T T"
Ru 1.027 0.000 1.982
Ru 7.362 0.000 5.101
Pb 1.521 0.000 6.358
Pb 6.868 0.000 0.726
O 1.707 1.364 1.065
O -1.183 0.000 5.228
O 1.594 0.000 3.624
O 1.707 -1.364 1.065
O 6.682 1.364 6.019
O 6.796 0.000 3.460
O 9.573 0.000 1.855
O 6.682 -1.364 6.019
F 4.627 0.000 1.241
F 3.763 0.000 5.842
```

Calculated values
Theoretical density in Mg/m³: 4.6
Energy in eV/atom: -6.070
Formation energy (no corrections) in eV/atom: -1.114

=====

Record 6
Computed, not measured: a relaxed NaCeO2 crystal at the PBE level of DFT.

Geometry as extended XYZ:
```
4
Lattice="1.773 1.024 5.987 -1.773 1.024 5.987 0.000 -2.048 5.987" Properties=species:S:1:pos:R:3 pbc="T T T"
Na 0.000 0.000 0.000
Ce 0.000 0.000 3.157
O 0.000 0.000 10.432
O 0.000 0.000 13.912
```

Calculated values
Theoretical density in Mg/m³: 5.0
Energy in eV/atom: -6.800
Formation energy (no corrections) in eV/atom: -2.508

=====

| no. | total moment (μB per cell) |
| --- | --- |
| 1 | 0.00 |
| 2 | 0.00 |
| 3 | 0.00 |
| 4 | 0.00 |
| 5 | 2.05 |
| 6 | 1.00 |